(1)
Below is crystalline In4Hg2Ir at its relaxed geometry, with properties calculated at the GGA-PBE level.

Output
Formation enthalpy at 0 K: 0.04 eV per atom
DOS(E_F): 3.43 states/eV/f.u.

a b c (Å): 8.714 8.714 8.714
angles (deg): 145.33 145.33 49.85
Element x y z (fractional)
In: 0.000 0.500 0.500
In: 0.167 0.167 0.000
In: 0.500 0.000 0.500
In: 0.833 0.833 0.000
Hg: 0.355 0.355 0.000
Hg: 0.645 0.645 0.000
Ir: 0.000 0.000 0.000

---

(2)
Below is crystalline Mg2NiOs at its relaxed geometry, with properties calculated at the GGA-PBE level.

Output
Formation enthalpy at 0 K: 0.23 eV per atom
Offset from the most stable computed form: 182 meV/atom
DOS(E_F): 3.82 states/eV/f.u.

a b c (Å): 4.375 4.375 4.375
angles (deg): 60.00 60.00 60.00
Element x y z (fractional)
Mg: 0.250 0.250 0.250
Mg: 0.750 0.750 0.750
Ni: 0.000 0.000 0.000
Os: 0.500 0.500 0.500

---

(3)
Below is crystalline FeAgPd6 at its relaxed geometry, with properties calculated at the GGA-PBE level.

Output
Formation enthalpy at 0 K: -0.06 eV per atom
DOS(E_F): 8.93 states/eV/f.u.

a b c (Å): 3.952 3.952 7.843
angles (deg): 90.00 90.00 90.00
Element x y z (fractional)
Fe: 0.000 0.000 0.000
Ag: 0.000 0.000 0.500
Pd: 0.000 0.500 0.239
Pd: 0.000 0.500 0.761
Pd: 0.500 0.000 0.239
Pd: 0.500 0.000 0.761
Pd: 0.500 0.500 0.000
Pd: 0.500 0.500 0.500

---

(4)
Below is crystalline Np2Se2I at its relaxed geometry, with properties calculated at the GGA-PBE level.

Output
Offset from the most stable computed form: 0 meV/atom
Raw formation energy: -1.01 eV/atom
DOS(E_F): 19.22 states/eV/f.u.

a b c (Å): 9.502 9.502 9.502
angles (deg): 155.00 155.00 35.64
Element x y z (fractional)
Np: 0.169 0.169 0.000
Np: 0.831 0.831 0.000
Se: 0.330 0.330 0.000
Se: 0.670 0.670 0.000
I: 0.000 0.000 0.000

---

(5)
Below is crystalline MgTlP2 at its relaxed geometry, with properties calculated at the GGA-PBE level.

Output
Formation enthalpy at 0 K: 0.11 eV per atom
Offset from the most stable computed form: 216 meV/atom
DOS(E_F): 1.73 states/eV/f.u.

a b c (Å): 3.286 3.286 7.705
angles (deg): 90.00 90.00 90.00
Element x y z (fractional)
Mg: 0.000 0.000 0.000
Tl: 0.500 0.500 0.701
P: 0.000 0.000 0.343
P: 0.500 0.500 0.240

---

(6)
Below is crystalline Pu2Ag4O9 at its relaxed geometry, with properties calculated at the GGA-PBE level.

Output
Raw formation energy: -1.28 eV/atom
DOS(E_F): 2.49 states/eV/f.u.

a b c (Å): 5.622 5.776 16.239
angles (deg): 84.30 86.32 61.59
Element x y z (fractional)
Pu: 0.010 0.460 0.348
Pu: 0.035 0.506 0.154
Pu: 0.965 0.494 0.846
Pu: 0.990 0.540 0.652
Ag: 0.317 0.825 0.484
Ag: 0.327 0.874 0.680
Ag: 0.332 0.800 0.981
Ag: 0.351 0.846 0.179
Ag: 0.649 0.154 0.821
Ag: 0.668 0.200 0.019
Ag: 0.673 0.126 0.320
Ag: 0.683 0.175 0.516
O: 0.012 0.730 0.405
O: 0.016 0.215 0.265
O: 0.048 0.815 0.085
O: 0.244 0.254 0.754
O: 0.245 0.485 0.909
O: 0.294 0.485 0.241
O: 0.298 0.545 0.584
O: 0.319 0.164 0.412
O: 0.329 0.213 0.096
O: 0.671 0.787 0.904
O: 0.681 0.836 0.588
O: 0.702 0.455 0.416
O: 0.706 0.515 0.759
O: 0.755 0.515 0.091
O: 0.756 0.746 0.246
O: 0.952 0.185 0.915
O: 0.984 0.785 0.735
O: 0.988 0.270 0.595

---

(7)
Below is crystalline Ti2Pb2Se at its relaxed geometry, with properties calculated at the GGA-PBE level.

Output
Raw formation energy: -0.21 eV/atom
DOS(E_F): 2.22 states/eV/f.u.

a b c (Å): 6.739 6.739 4.816
angles (deg): 90.00 90.00 90.00
Element x y z (fractional)
Ti: 0.144 0.356 0.000
Ti: 0.356 0.856 0.000
Ti: 0.644 0.144 0.000
Ti: 0.856 0.644 0.000
Pb: 0.167 0.667 0.500
Pb: 0.333 0.167 0.500
Pb: 0.667 0.833 0.500
Pb: 0.833 0.333 0.500
Se: 0.000 0.000 0.000
Se: 0.500 0.500 0.000

---

(8)
Below is crystalline LiNbZn at its relaxed geometry, with properties calculated at the GGA-PBE level.

Output
Formation enthalpy at 0 K: 0.04 eV per atom
Offset from the most stable computed form: 89 meV/atom
DOS(E_F): 1.95 states/eV/f.u.

a b c (Å): 4.326 3.196 7.245
angles (deg): 90.00 104.46 90.00
Element x y z (fractional)
Li: 0.000 0.000 0.000
Li: 0.309 0.000 0.711
Nb: 0.148 0.500 0.360
Nb: 0.641 0.000 0.344
Zn: 0.524 0.500 0.015
Zn: 0.783 0.500 0.681

---

Among the records above, which one has the highest DOS(E_F)? Np2Se2I

---

What is the DOS(E_F) in the third record? 8.93 states/eV/f.u.